No. 1
Density functional theory data (GGA-PBE) for crystalline CsPuBe2F8 at its relaxed geometry.

The structure in CIF format:
```
data_CsPuBe2F8
_chemical_formula_sum 'Cs1 Pu1 Be2 F8'
_symmetry_space_group_name_H-M 'P 1'
_symmetry_Int_Tables_number 1
_symmetry_space_group_name_Hall 'P 1'
_cell_length_a 9.3620
_cell_length_b 9.3620
_cell_length_c 9.3620
_cell_angle_alpha 32.54
_cell_angle_beta 32.54
_cell_angle_gamma 32.54
loop_
_atom_site_label
_atom_site_type_symbol
_atom_site_fract_x
_atom_site_fract_y
_atom_site_fract_z
Cs1 Cs 0.0000 0.0000 0.0000
Pu1 Pu 0.5000 0.5000 0.5000
Be1 Be 0.2447 0.2447 0.2447
Be2 Be 0.7553 0.7553 0.7553
F1 F 0.0739 0.5174 0.7448
F2 F 0.2552 0.4826 0.9261
F3 F 0.3007 0.3007 0.3007
F4 F 0.4826 0.9261 0.2552
F5 F 0.5174 0.7448 0.0739
F6 F 0.6993 0.6993 0.6993
F7 F 0.7448 0.0739 0.5174
F8 F 0.9261 0.2552 0.4826
```

Size of the total moment ... 5.0 μB/f.u.
Calculated total energy ... -6.448 eV/atom
Formation energy without anion corrections ... -39.772 eV/f.u.

---

No. 2
Density functional theory data (GGA-PBE) for crystalline CsBeSbF6 at its relaxed geometry.

The structure in CIF format:
```
data_CsBeSbF6
_chemical_formula_sum 'Cs1 Be1 Sb1 F6'
_symmetry_space_group_name_H-M 'P 1'
_symmetry_Int_Tables_number 1
_symmetry_space_group_name_Hall 'P 1'
_cell_length_a 5.4720
_cell_length_b 5.4720
_cell_length_c 6.4478
_cell_angle_alpha 90.00
_cell_angle_beta 90.00
_cell_angle_gamma 120.00
loop_
_atom_site_label
_atom_site_type_symbol
_atom_site_fract_x
_atom_site_fract_y
_atom_site_fract_z
Cs1 Cs 0.0000 0.0000 0.0000
Be1 Be 0.6667 0.3333 0.5000
Sb1 Sb 0.3333 0.6667 0.5000
F1 F 0.4102 0.0551 0.3366
F2 F 0.4102 0.3551 0.6634
F3 F 0.6449 0.0551 0.6634
F4 F 0.6449 0.5898 0.3366
F5 F 0.9449 0.3551 0.3366
F6 F 0.9449 0.5898 0.6634
```

Size of the total moment ... 0.0 μB/f.u.
Calculated total energy ... -4.841 eV/atom
Formation energy without anion corrections ... -23.639 eV/f.u.

---

No. 3
Density functional theory data (GGA-PBE) for crystalline CsBe2SbF8 at its relaxed geometry.

The structure in CIF format:
```
data_CsBe2SbF8
_chemical_formula_sum 'Cs1 Be2 Sb1 F8'
_symmetry_space_group_name_H-M 'P 1'
_symmetry_Int_Tables_number 1
_symmetry_space_group_name_Hall 'P 1'
_cell_length_a 9.4546
_cell_length_b 9.4546
_cell_length_c 9.4546
_cell_angle_alpha 31.57
_cell_angle_beta 31.57
_cell_angle_gamma 31.57
loop_
_atom_site_label
_atom_site_type_symbol
_atom_site_fract_x
_atom_site_fract_y
_atom_site_fract_z
Cs1 Cs 0.0000 0.0000 0.0000
Be1 Be 0.2410 0.2410 0.2410
Be2 Be 0.7590 0.7590 0.7590
Sb1 Sb 0.5000 0.5000 0.5000
F1 F 0.0848 0.5131 0.7464
F2 F 0.2536 0.4869 0.9152
F3 F 0.2964 0.2964 0.2964
F4 F 0.4869 0.9152 0.2536
F5 F 0.5131 0.7464 0.0848
F6 F 0.7036 0.7036 0.7036
F7 F 0.7464 0.0848 0.5131
F8 F 0.9152 0.2536 0.4869
```

Size of the total moment ... 0.0 μB/f.u.
Calculated total energy ... -5.164 eV/atom
Formation energy without anion corrections ... -34.569 eV/f.u.

---

No. 4
Density functional theory data (GGA-PBE) for crystalline CsTiBe2F8 at its relaxed geometry.

The structure in CIF format:
```
data_CsTiBe2F8
_chemical_formula_sum 'Cs1 Ti1 Be2 F8'
_symmetry_space_group_name_H-M 'P 1'
_symmetry_Int_Tables_number 1
_symmetry_space_group_name_Hall 'P 1'
_cell_length_a 9.0786
_cell_length_b 9.0786
_cell_length_c 9.0786
_cell_angle_alpha 32.37
_cell_angle_beta 32.37
_cell_angle_gamma 32.37
loop_
_atom_site_label
_atom_site_type_symbol
_atom_site_fract_x
_atom_site_fract_y
_atom_site_fract_z
Cs1 Cs 0.0000 0.0000 0.0000
Ti1 Ti 0.5000 0.5000 0.5000
Be1 Be 0.2348 0.2348 0.2348
Be2 Be 0.7652 0.7652 0.7652
F1 F 0.1058 0.7275 0.5300
F2 F 0.2725 0.4700 0.8942
F3 F 0.2928 0.2928 0.2928
F4 F 0.4700 0.8942 0.2725
F5 F 0.5300 0.1058 0.7275
F6 F 0.7072 0.7072 0.7072
F7 F 0.7275 0.5300 0.1058
F8 F 0.8942 0.2725 0.4700
```

Size of the total moment ... 1.0 μB/f.u.
Calculated total energy ... -5.832 eV/atom
Formation energy without anion corrections ... -38.812 eV/f.u.

---

No. 5
Density functional theory data (GGA-PBE) for crystalline CsBe2TlF6 at its relaxed geometry.

The structure in CIF format:
```
data_CsBe2TlF6
_chemical_formula_sum 'Cs2 Be4 Tl2 F12'
_symmetry_space_group_name_H-M 'P 1'
_symmetry_Int_Tables_number 1
_symmetry_space_group_name_Hall 'P 1'
_cell_length_a 7.2877
_cell_length_b 7.2877
_cell_length_c 7.9928
_cell_angle_alpha 97.27
_cell_angle_beta 97.27
_cell_angle_gamma 107.93
loop_
_atom_site_label
_atom_site_type_symbol
_atom_site_fract_x
_atom_site_fract_y
_atom_site_fract_z
Cs1 Cs 0.1104 0.8896 0.7500
Cs2 Cs 0.8896 0.1104 0.2500
Be1 Be 0.0844 0.4274 0.9150
Be2 Be 0.4274 0.0844 0.4150
Be3 Be 0.5726 0.9156 0.5850
Be4 Be 0.9156 0.5726 0.0850
Tl1 Tl 0.4988 0.5012 0.2500
Tl2 Tl 0.5012 0.4988 0.7500
F1 F 0.1270 0.4798 0.7440
F2 F 0.1422 0.6282 0.0609
F3 F 0.1825 0.2860 0.9785
F4 F 0.2860 0.1825 0.4785
F5 F 0.3718 0.8578 0.4391
F6 F 0.4798 0.1270 0.2440
F7 F 0.5202 0.8730 0.7560
F8 F 0.6282 0.1422 0.5609
F9 F 0.7140 0.8175 0.5215
F10 F 0.8175 0.7140 0.0215
F11 F 0.8578 0.3718 0.9391
F12 F 0.8730 0.5202 0.2560
```

Size of the total moment ... 0.0 μB/f.u.
Calculated total energy ... -5.082 eV/atom
Formation energy without anion corrections ... -28.922 eV/f.u.

---

No. 6
Density functional theory data (GGA-PBE) for crystalline CsBe2TlF8 at its relaxed geometry.

The structure in CIF format:
```
data_CsBe2TlF8
_chemical_formula_sum 'Cs1 Be2 Tl1 F8'
_symmetry_space_group_name_H-M 'P 1'
_symmetry_Int_Tables_number 1
_symmetry_space_group_name_Hall 'P 1'
_cell_length_a 5.0262
_cell_length_b 5.0262
_cell_length_c 8.8328
_cell_angle_alpha 96.73
_cell_angle_beta 96.73
_cell_angle_gamma 66.99
loop_
_atom_site_label
_atom_site_type_symbol
_atom_site_fract_x
_atom_site_fract_y
_atom_site_fract_z
Cs1 Cs 0.0000 0.0000 0.0000
Be1 Be 0.3901 0.3901 0.7022
Be2 Be 0.6099 0.6099 0.2978
Tl1 Tl 0.0000 0.0000 0.5000
F1 F 0.2622 0.2622 0.5506
F2 F 0.2667 0.7316 0.6850
F3 F 0.2684 0.7333 0.3150
F4 F 0.3270 0.3270 0.8520
F5 F 0.6730 0.6730 0.1480
F6 F 0.7316 0.2667 0.6850
F7 F 0.7333 0.2684 0.3150
F8 F 0.7378 0.7378 0.4494
```

Size of the total moment ... 0.2 μB/f.u.
Calculated total energy ... -4.869 eV/atom
Formation energy without anion corrections ... -32.782 eV/f.u.

---

No. 7
Density functional theory data (GGA-PBE) for crystalline CsBeTlF4 at its relaxed geometry.

The structure in CIF format:
```
data_CsBeTlF4
_chemical_formula_sum 'Cs2 Be2 Tl2 F8'
_symmetry_space_group_name_H-M 'P 1'
_symmetry_Int_Tables_number 1
_symmetry_space_group_name_Hall 'P 1'
_cell_length_a 5.8189
_cell_length_b 6.1648
_cell_length_c 8.1495
_cell_angle_alpha 90.00
_cell_angle_beta 108.27
_cell_angle_gamma 90.00
loop_
_atom_site_label
_atom_site_type_symbol
_atom_site_fract_x
_atom_site_fract_y
_atom_site_fract_z
Cs1 Cs 0.2422 0.2500 0.0957
Cs2 Cs 0.7578 0.7500 0.9043
Be1 Be 0.4168 0.2500 0.7128
Be2 Be 0.5832 0.7500 0.2872
Tl1 Tl 0.1740 0.7500 0.4917
Tl2 Tl 0.8260 0.2500 0.5083
F1 F 0.3011 0.7500 0.1954
F2 F 0.3017 0.0421 0.7666
F3 F 0.3017 0.4579 0.7666
F4 F 0.3595 0.2500 0.5091
F5 F 0.6405 0.7500 0.4909
F6 F 0.6983 0.5421 0.2334
F7 F 0.6983 0.9579 0.2334
F8 F 0.6989 0.2500 0.8046
```

Size of the total moment ... 0.0 μB/f.u.
Calculated total energy ... -4.825 eV/atom
Formation energy without anion corrections ... -19.343 eV/f.u.